No. 1
VASP calculation (PBE) on a geometry-optimized MgZn2Hg structure.

Computed properties:
E_form = 0.001 eV/atom
energy relative to the lowest polymorph listed for this composition = 33 meV per atom
raw total energy = -4.4 eV/cell

a = 4.8346 Å, b = 4.8346 Å, c = 3.4807 Å
α = 90.00°, β = 90.00°, γ = 109.28°
Fractional coordinates of all 4 atoms:
Mg 0.0000 0.0000 0.0000
Zn 0.0000 0.5000 0.5000
Zn 0.5000 0.0000 0.5000
Hg 0.5000 0.5000 0.0000

=====

No. 2
VASP calculation (PBE) on a geometry-optimized La2WAu structure.

Computed properties:
E_form = 0.313 eV/atom
energy relative to the lowest polymorph listed for this composition = 218 meV per atom
raw total energy = -24.8 eV/cell

a = 3.7838 Å, b = 3.7838 Å, c = 9.4000 Å
α = 95.09°, β = 95.09°, γ = 50.24°
Fractional coordinates of all 4 atoms:
La 0.2450 0.2450 0.2579
La 0.7550 0.7550 0.7421
W 0.0000 0.0000 0.5000
Au 0.5000 0.5000 0.0000